VASP calculation (PBE-GGA) on AlCuCl4 after structural relaxation.

The structure in POSCAR format:
```
AlCuCl4
1.0
6.2572 0.0000 0.0000
0.0000 8.1447 0.0000
0.0000 0.0000 12.8928
Cu Cl Al
4 16 4
Direct
0.0568 0.4883 0.8376
0.0568 0.0117 0.3376
0.5568 0.9883 0.6624
0.5568 0.5117 0.1624
0.9309 0.4852 0.1642
0.9410 0.0457 0.1650
0.9032 0.7703 0.4015
0.4309 0.9852 0.3358
0.4032 0.2703 0.0985
0.4410 0.5457 0.3350
0.9410 0.4543 0.6650
0.4410 0.9543 0.8350
0.9032 0.7297 0.9015
0.4535 0.7456 0.0702
0.4032 0.2297 0.5985
0.9535 0.2544 0.9298
0.4309 0.5148 0.8358
0.4535 0.7544 0.5702
0.9309 0.0148 0.6642
0.9535 0.2456 0.4298
0.0568 0.2669 0.0903
0.5568 0.7669 0.4097
0.5568 0.7331 0.9097
0.0568 0.2331 0.5903
```

Output
ΔE_f (raw) = -112.86 kJ per mole of atoms
Symmetry = Pna2_1, No. 33